Entry 1:
{"formula": "BeRe2Mo", "functional": "GGA-PBEsol", "state": "optimized geometry", "lattice_angstrom": [[5.310, 0.000, 0.000], [0.000, 8.507, 0.000], [-1.104, 0.000, 2.434]], "species": ["Be", "Be", "Re", "Re", "Re", "Re", "Mo", "Mo"], "frac_coords": [[0.000, 0.000, 0.000], [0.500, 0.500, 0.000], [0.250, 0.250, 0.500], [0.250, 0.750, 0.500], [0.750, 0.250, 0.500], [0.750, 0.750, 0.500], [0.000, 0.500, 0.000], [0.500, 0.000, 0.000]], "total_energy_ry_per_atom": -0.7654, "dos_ef_per_ev_cell": 6.7, "vol_a3_per_cell": 109.9, "formation_enthalpy_0k_mev_per_atom": 194, "magmom_total_mub_per_fu": 0.00, "space_group": "C2/m"}

---

Entry 2:
{"formula": "Pr6MnGe2S14", "functional": "GGA-PBEsol", "state": "optimized geometry", "lattice_angstrom": [[10.075, 0.000, 0.000], [-5.038, 8.725, 0.000], [0.000, 0.000, 5.724]], "species": ["Pr", "Pr", "Pr", "Pr", "Pr", "Pr", "Mn", "Ge", "Ge", "S", "S", "S", "S", "S", "S", "S", "S", "S", "S", "S", "S", "S", "S"], "frac_coords": [[0.023, 0.560, 0.000], [0.312, 0.109, 0.501], [0.440, 0.463, 0.000], [0.537, 0.977, 0.000], [0.797, 0.688, 0.501], [0.891, 0.203, 0.501], [0.667, 0.333, 0.771], [0.000, 0.000, 0.918], [0.333, 0.667, 0.424], [0.000, 0.000, 0.298], [0.087, 0.855, 0.767], [0.145, 0.232, 0.767], [0.184, 0.434, 0.274], [0.250, 0.816, 0.274], [0.333, 0.667, 0.805], [0.431, 0.182, 0.989], [0.520, 0.421, 0.541], [0.566, 0.750, 0.274], [0.579, 0.099, 0.541], [0.751, 0.569, 0.989], [0.768, 0.913, 0.767], [0.818, 0.249, 0.989], [0.901, 0.480, 0.541]], "raw_formation_energy_ev_per_atom": -1.52, "total_energy_ry_per_atom": -0.4698, "dos_ef_per_ev_cell": 2.0, "vol_a3_per_cell": 503.2, "magmom_total_mub_per_fu": 0.92, "space_group": "P3"}

---

Entry 3:
{"formula": "InGePt3", "functional": "GGA-PBEsol", "state": "optimized geometry", "lattice_angstrom": [[4.874, 0.000, 0.000], [0.000, 4.874, 0.000], [0.000, 0.000, 4.874]], "species": ["In", "Ge", "Pt", "Pt", "Pt"], "frac_coords": [[0.000, 0.000, 0.000], [0.500, 0.500, 0.500], [0.000, 0.000, 0.500], [0.000, 0.500, 0.000], [0.500, 0.000, 0.000]], "total_energy_ry_per_atom": -0.3373, "dos_ef_per_ev_cell": 2.9, "vol_a3_per_cell": 115.8, "formation_enthalpy_0k_mev_per_atom": 1174, "magmom_total_mub_per_fu": 0.00, "space_group": "Pm-3m"}

---

Entry 4:
{"formula": "Sb2IrOs", "functional": "GGA-PBEsol", "state": "optimized geometry", "lattice_angstrom": [[4.189, 0.000, 0.000], [0.000, 3.231, 0.000], [0.000, 0.000, 10.520]], "species": ["Sb", "Sb", "Sb", "Sb", "Ir", "Ir", "Os", "Os"], "frac_coords": [[0.000, 0.000, 0.000], [0.000, 0.500, 0.500], [0.500, 0.000, 0.300], [0.500, 0.500, 0.800], [0.000, 0.000, 0.743], [0.000, 0.500, 0.243], [0.500, 0.000, 0.561], [0.500, 0.500, 0.061]], "raw_formation_energy_ev_per_atom": 0.22, "total_energy_ry_per_atom": -0.5565, "dos_ef_per_ev_cell": 5.0, "de_polymorph_mev_per_atom": 0, "vol_a3_per_cell": 142.4, "magmom_total_mub_per_fu": 0.00, "space_group": "Amm2"}

---

Entry 5:
{"formula": "ScSi2Os", "functional": "GGA-PBEsol", "state": "optimized geometry", "lattice_angstrom": [[6.159, 0.000, 0.000], [0.000, 6.159, 0.000], [0.000, 0.000, 6.159]], "species": ["Sc", "Sc", "Sc", "Sc", "Si", "Si", "Si", "Si", "Si", "Si", "Si", "Si", "Os", "Os", "Os", "Os"], "frac_coords": [[0.000, 0.000, 0.000], [0.000, 0.500, 0.500], [0.500, 0.000, 0.500], [0.500, 0.500, 0.000], [0.000, 0.000, 0.500], [0.000, 0.500, 0.000], [0.250, 0.250, 0.250], [0.250, 0.750, 0.750], [0.500, 0.000, 0.000], [0.500, 0.500, 0.500], [0.750, 0.250, 0.750], [0.750, 0.750, 0.250], [0.250, 0.250, 0.750], [0.250, 0.750, 0.250], [0.750, 0.250, 0.250], [0.750, 0.750, 0.750]], "raw_formation_energy_ev_per_atom": -0.14, "total_energy_ry_per_atom": -0.5672, "dos_ef_per_ev_cell": 14.9, "vol_a3_per_cell": 233.6, "magmom_total_mub_per_fu": 0.00, "space_group": "F-43m"}

---

Entry 6:
{"formula": "Ba6Na2Ta2Mn2O17", "functional": "GGA-PBEsol", "state": "optimized geometry", "lattice_angstrom": [[5.870, 0.000, 0.000], [-2.935, 5.084, 0.000], [0.000, 0.000, 29.958]], "species": ["Ba", "Ba", "Ba", "Ba", "Ba", "Ba", "Ba", "Ba", "Ba", "Ba", "Ba", "Ba", "Na", "Na", "Na", "Na", "Ta", "Ta", "Ta", "Ta", "Mn", "Mn", "Mn", "Mn", "O", "O", "O", "O", "O", "O", "O", "O", "O", "O", "O", "O", "O", "O", "O", "O", "O", "O", "O", "O", "O", "O", "O", "O", "O", "O", "O", "O", "O", "O", "O", "O", "O", "O"], "frac_coords": [[0.000, 0.000, 0.000], [0.000, 0.000, 0.250], [0.000, 0.000, 0.500], [0.000, 0.000, 0.750], [0.333, 0.667, 0.090], [0.333, 0.667, 0.410], [0.333, 0.667, 0.680], [0.333, 0.667, 0.820], [0.667, 0.333, 0.180], [0.667, 0.333, 0.320], [0.667, 0.333, 0.590], [0.667, 0.333, 0.910], [0.000, 0.000, 0.124], [0.000, 0.000, 0.376], [0.000, 0.000, 0.624], [0.000, 0.000, 0.876], [0.333, 0.667, 0.202], [0.333, 0.667, 0.298], [0.667, 0.333, 0.702], [0.667, 0.333, 0.798], [0.333, 0.667, 0.552], [0.333, 0.667, 0.948], [0.667, 0.333, 0.052], [0.667, 0.333, 0.448], [0.028, 0.514, 0.250], [0.174, 0.347, 0.169], [0.174, 0.347, 0.331], [0.174, 0.826, 0.169], [0.174, 0.826, 0.331], [0.177, 0.354, 0.572], [0.177, 0.354, 0.928], [0.177, 0.823, 0.572], [0.177, 0.823, 0.928], [0.333, 0.667, 0.004], [0.333, 0.667, 0.496], [0.347, 0.174, 0.669], [0.347, 0.174, 0.831], [0.354, 0.177, 0.072], [0.354, 0.177, 0.428], [0.486, 0.514, 0.250], [0.486, 0.972, 0.250], [0.514, 0.028, 0.750], [0.514, 0.486, 0.750], [0.646, 0.823, 0.572], [0.646, 0.823, 0.928], [0.653, 0.826, 0.169], [0.653, 0.826, 0.331], [0.667, 0.333, 0.504], [0.667, 0.333, 0.996], [0.823, 0.177, 0.072], [0.823, 0.177, 0.428], [0.823, 0.646, 0.072], [0.823, 0.646, 0.428], [0.826, 0.174, 0.669], [0.826, 0.174, 0.831], [0.826, 0.653, 0.669], [0.826, 0.653, 0.831], [0.972, 0.486, 0.750]], "raw_formation_energy_ev_per_atom": -2.54, "total_energy_ry_per_atom": -0.5660, "vol_a3_per_cell": 894.1, "magmom_total_mub_per_fu": 4.00, "space_group": "P6_3/mmc"}

---

Entry 7:
{"formula": "MnAg2Sn3S8", "functional": "GGA-PBEsol", "state": "optimized geometry", "lattice_angstrom": [[3.729, 2.153, 5.979], [-3.729, 2.153, 5.979], [0.000, -4.305, 5.979]], "species": ["Mn", "Ag", "Ag", "Sn", "Sn", "Sn", "S", "S", "S", "S", "S", "S", "S", "S"], "frac_coords": [[0.000, 0.000, 0.000], [0.386, 0.386, 0.386], [0.614, 0.614, 0.614], [0.000, 0.000, 0.500], [0.000, 0.500, 0.000], [0.500, 0.000, 0.000], [0.212, 0.779, 0.779], [0.221, 0.221, 0.788], [0.221, 0.788, 0.221], [0.248, 0.248, 0.248], [0.752, 0.752, 0.752], [0.779, 0.212, 0.779], [0.779, 0.779, 0.212], [0.788, 0.221, 0.221]], "raw_formation_energy_ev_per_atom": -0.41, "total_energy_ry_per_atom": -0.3672, "dos_ef_per_ev_cell": 3.3, "vol_a3_per_cell": 287.9, "magmom_total_mub_per_fu": 0.99, "space_group": "R-3m"}

---

Entry 8:
{"formula": "CsGa2Au2", "functional": "GGA-PBEsol", "state": "optimized geometry", "lattice_angstrom": [[4.756, 0.000, 0.000], [0.000, 4.756, 0.000], [0.000, 0.000, 12.674]], "species": ["Cs", "Cs", "Ga", "Ga", "Ga", "Ga", "Au", "Au", "Au", "Au"], "frac_coords": [[0.000, 0.000, 0.000], [0.500, 0.500, 0.500], [0.000, 0.500, 0.250], [0.000, 0.500, 0.750], [0.500, 0.000, 0.250], [0.500, 0.000, 0.750], [0.000, 0.000, 0.320], [0.000, 0.000, 0.680], [0.500, 0.500, 0.180], [0.500, 0.500, 0.820]], "total_energy_ry_per_atom": -0.2417, "dos_ef_per_ev_cell": 3.9, "vol_a3_per_cell": 286.7, "formation_enthalpy_0k_mev_per_atom": -195, "magmom_total_mub_per_fu": 0.00, "space_group": "I4/mmm"}

---

Entry 9:
{"formula": "KPtSe", "functional": "GGA-PBEsol", "state": "optimized geometry", "lattice_angstrom": [[4.187, 0.000, 0.000], [-2.093, 3.626, 0.000], [0.000, 0.000, 5.003]], "species": ["K", "Pt", "Se"], "frac_coords": [[0.000, 0.000, 0.000], [0.333, 0.667, 0.500], [0.667, 0.333, 0.500]], "raw_formation_energy_ev_per_atom": -0.53, "total_energy_ry_per_atom": -0.3315, "dos_ef_per_ev_cell": 2.7, "vol_a3_per_cell": 75.9, "magmom_total_mub_per_fu": 0.00, "space_group": "P-6m2"}

---

Entry 10:
{"formula": "Er2IrPd", "functional": "GGA-PBEsol", "state": "optimized geometry", "lattice_angstrom": [[6.751, 0.000, 0.000], [0.000, 6.751, 0.000], [0.000, 0.000, 6.751]], "species": ["Er", "Er", "Er", "Er", "Er", "Er", "Er", "Er", "Ir", "Ir", "Ir", "Ir", "Pd", "Pd", "Pd", "Pd"], "frac_coords": [[0.250, 0.250, 0.250], [0.250, 0.250, 0.750], [0.250, 0.750, 0.250], [0.250, 0.750, 0.750], [0.750, 0.250, 0.250], [0.750, 0.250, 0.750], [0.750, 0.750, 0.250], [0.750, 0.750, 0.750], [0.000, 0.000, 0.000], [0.000, 0.500, 0.500], [0.500, 0.000, 0.500], [0.500, 0.500, 0.000], [0.000, 0.000, 0.500], [0.000, 0.500, 0.000], [0.500, 0.000, 0.000], [0.500, 0.500, 0.500]], "total_energy_ry_per_atom": -0.5401, "dos_ef_per_ev_cell": 6.2, "vol_a3_per_cell": 307.7, "formation_enthalpy_0k_mev_per_atom": -940, "magmom_total_mub_per_fu": 0.00, "space_group": "Fm-3m"}

---

Entry 11:
{"formula": "BaErMn2O5", "functional": "GGA-PBEsol", "state": "optimized geometry", "lattice_angstrom": [[3.867, 0.000, 0.000], [0.000, 3.867, 0.000], [0.000, 0.000, 7.365]], "species": ["Ba", "Er", "Mn", "Mn", "O", "O", "O", "O", "O"], "frac_coords": [[0.000, 0.000, 0.000], [0.000, 0.000, 0.500], [0.500, 0.500, 0.277], [0.500, 0.500, 0.723], [0.000, 0.500, 0.311], [0.000, 0.500, 0.689], [0.500, 0.000, 0.311], [0.500, 0.000, 0.689], [0.500, 0.500, 0.000]], "raw_formation_energy_ev_per_atom": -2.41, "total_energy_ry_per_atom": -0.6086, "dos_ef_per_ev_cell": 2.6, "vol_a3_per_cell": 110.1, "magmom_total_mub_per_fu": 7.77, "space_group": "P4/mmm"}

---

Entry 12:
{"formula": "La2HgOs", "functional": "GGA-PBEsol", "state": "optimized geometry", "lattice_angstrom": [[3.471, 0.000, 0.000], [0.000, 3.471, 0.000], [0.000, 0.000, 8.260]], "species": ["La", "La", "Hg", "Os"], "frac_coords": [[0.000, 0.000, 0.213], [0.000, 0.000, 0.787], [0.500, 0.500, 0.500], [0.500, 0.500, 0.000]], "total_energy_ry_per_atom": -0.4481, "dos_ef_per_ev_cell": 3.8, "vol_a3_per_cell": 99.5, "formation_enthalpy_0k_mev_per_atom": -227, "magmom_total_mub_per_fu": 0.00, "space_group": "P4/mmm"}